First-principles (PBE) data for crystalline Ta3Br at its relaxed geometry, as listed in Alexandria.

abc: 3.0844 3.0844 9.1715
angles: 90.00 90.00 120.00
Fractional coordinates of all 4 atoms:
Br: 0.0000 0.0000 0.0000
Ta: 0.0000 0.0000 0.5000
Ta: 0.6667 0.3333 0.2429
Ta: 0.6667 0.3333 0.7571

- formation energy (no corrections) (eV per atom) = 0.391
- E_tot (eV/cell) = -35.67